Record 1
A relaxed structure of InSn6Pb3, computed with PBE.

- ΔE_f: 0.109 eV per atom
- Total DFT energy (no corrections): -73.6 eV per cell
- Size of the total moment: 0.0 Bohr magnetons per cell
- V: 603 Å³ per cell
- SG: R-3c (167)

Lattice parameters (Å, degrees): 9.354 9.354 9.354 110.57 110.57 110.57
Sites, in units of the cell vectors:
In  0.750  0.750  0.750
In  0.250  0.250  0.250
Sn  0.757  0.864  0.124
Sn  0.864  0.124  0.757
Sn  0.124  0.757  0.864
Sn  0.624  0.364  0.257
Sn  0.364  0.257  0.624
Sn  0.257  0.624  0.364
Sn  0.243  0.136  0.876
Sn  0.136  0.876  0.243
Sn  0.876  0.243  0.136
Sn  0.376  0.636  0.743
Sn  0.636  0.743  0.376
Sn  0.743  0.376  0.636
Pb  0.750  0.489  0.011
Pb  0.489  0.011  0.750
Pb  0.011  0.750  0.489
Pb  0.511  0.989  0.250
Pb  0.989  0.250  0.511
Pb  0.250  0.511  0.989

=====

Record 2
A relaxed structure of In4Sn3Pb2, computed with PBE.

- ΔE_f: 0.026 eV per atom
- Total DFT energy (no corrections): -30.1 eV per cell
- Size of the total moment: 0.0 Bohr magnetons per cell
- V: 256 Å³ per cell
- SG: C2/m (12)

Lattice parameters (Å, degrees): 3.449 10.273 8.952 123.92 101.11 90.00
Sites, in units of the cell vectors:
In  0.774  0.662  0.547
In  0.226  0.338  0.453
In  0.441  0.667  0.882
In  0.559  0.333  0.118
Sn  0.895  0.345  0.789
Sn  0.105  0.655  0.211
Sn  0.000  0.000  0.000
Pb  0.664  0.997  0.328
Pb  0.336  0.003  0.672

=====

Record 3
A relaxed structure of InSn3Pb, computed with PBE.

- ΔE_f: 0.520 eV per atom
- Total DFT energy (no corrections): -15.9 eV per cell
- Size of the total moment: 0.0 Bohr magnetons per cell
- V: 178 Å³ per cell
- SG: Pm-3m (221)

Lattice parameters (Å, degrees): 5.623 5.623 5.623 90.00 90.00 90.00
Sites, in units of the cell vectors:
Pb  0.500  0.500  0.500
Sn  0.000  0.500  0.000
Sn  0.000  0.000  0.500
Sn  0.500  0.000  0.000
In  0.000  0.000  0.000

=====

Record 4
A relaxed structure of InSnPb3, computed with PBE.

- ΔE_f: 0.037 eV per atom
- Total DFT energy (no corrections): -35.4 eV per cell
- Size of the total moment: 0.0 Bohr magnetons per cell
- V: 301 Å³ per cell
- SG: P-1 (2)

Lattice parameters (Å, degrees): 5.857 6.740 9.122 70.32 90.00 64.23
Sites, in units of the cell vectors:
In  0.954  0.092  0.153
In  0.046  0.908  0.847
Sn  0.546  0.908  0.356
Sn  0.454  0.092  0.644
Pb  0.849  0.302  0.462
Pb  0.353  0.294  0.939
Pb  0.742  0.517  0.758
Pb  0.151  0.698  0.538
Pb  0.258  0.483  0.242
Pb  0.647  0.706  0.061